[1]
A relaxed HoCuAg2S4 crystal, computed with GGA-PBE.

a b c (Å): 3.8229 6.8581 12.4040
angles (deg): 90.00 90.00 106.18
Fractional positions:
1 Ag 0.3731 0.7461 0.9440
2 Ag 0.6269 0.2539 0.0560
3 Cu 0.1752 0.3504 0.2500
4 S 0.3097 0.6195 0.1311
5 Cu 0.8248 0.6496 0.7500
6 Ho 0.9123 0.8245 0.2500
7 Ho 0.0877 0.1755 0.7500
8 S 0.3097 0.6195 0.3689
9 Ag 0.6269 0.2539 0.4440
10 S 0.0000 0.0000 0.0000
11 S 0.0000 0.0000 0.5000
12 S 0.4306 0.8613 0.7500
13 S 0.6903 0.3805 0.8689
14 S 0.6903 0.3805 0.6311
15 Ag 0.3731 0.7461 0.5560
16 S 0.5694 0.1387 0.2500

Calculated values
- Symmetry: Cmcm (63)
- Total DFT energy (no corrections): -4.448 eV/atom
- Raw formation energy: -587 meV per atom

[2]
A relaxed HoCuAg2Se4 crystal, computed with GGA-PBE.

a b c (Å): 3.9602 7.1632 12.9858
angles (deg): 90.00 90.00 106.05
Fractional positions:
1 Se 0.4379 0.8758 0.7500
2 Se 0.0000 0.0000 0.0000
3 Cu 0.8308 0.6616 0.7500
4 Ag 0.3711 0.7422 0.5600
5 Se 0.3045 0.6090 0.1280
6 Se 0.3045 0.6090 0.3720
7 Se 0.6955 0.3910 0.6280
8 Ho 0.9059 0.8119 0.2500
9 Ag 0.6289 0.2578 0.0600
10 Ag 0.3711 0.7422 0.9400
11 Se 0.6955 0.3910 0.8720
12 Ho 0.0941 0.1881 0.7500
13 Cu 0.1692 0.3384 0.2500
14 Se 0.5621 0.1242 0.2500
15 Se 0.0000 0.0000 0.5000
16 Ag 0.6289 0.2578 0.4400

Calculated values
- Symmetry: Cmcm (63)
- Total DFT energy (no corrections): -4.083 eV/atom
- Raw formation energy: -544 meV per atom

[3]
A relaxed Ho2CuAgSe4 crystal, computed with GGA-PBE.

a b c (Å): 4.1092 6.7320 7.1412
angles (deg): 68.83 90.00 90.00
Fractional positions:
1 Se 0.5000 0.2596 0.7383
2 Ag 0.5000 0.5000 0.0000
3 Ho 0.0000 0.0000 0.0000
4 Ho 0.5000 0.0000 0.5000
5 Se 0.5000 0.7404 0.2617
6 Se 0.0000 0.2533 0.2533
7 Se 0.0000 0.7467 0.7467
8 Cu 0.0000 0.5000 0.5000

Calculated values
- Symmetry: P2/m (10)
- Total DFT energy (no corrections): -4.856 eV/atom
- Raw formation energy: -1100 meV per atom

[4]
A relaxed HoTmCuAg crystal, computed with GGA-PBE.

a b c (Å): 3.5023 3.5023 7.1190
angles (deg): 90.00 90.00 90.00
Fractional positions:
1 Ho 0.5000 0.5000 0.5931
2 Cu 0.0000 0.0000 0.3522
3 Tm 0.5000 0.5000 0.1209
4 Ag 0.0000 0.0000 0.8618

Calculated values
- ΔE to the lowest computed polymorph: 0 meV per atom
- Symmetry: P4mm (99)
- Total DFT energy (no corrections): -4.301 eV/atom

[5]
A relaxed HoTmCuAg crystal, computed with GGA-PBE.

a b c (Å): 4.9919 4.9919 4.9919
angles (deg): 60.00 60.00 60.00
Fractional positions:
1 Tm 0.5000 0.5000 0.5000
2 Ho 0.0000 0.0000 0.0000
3 Cu 0.2500 0.2500 0.2500
4 Ag 0.7500 0.7500 0.7500

Calculated values
- ΔE to the lowest computed polymorph: 18 meV per atom
- Symmetry: F-43m (216)
- Total DFT energy (no corrections): -4.283 eV/atom

[6]
A relaxed YHoCuAg crystal, computed with GGA-PBE.

a b c (Å): 3.5399 3.5399 7.1550
angles (deg): 90.00 90.00 90.00
Fractional positions:
1 Ag 0.0000 0.0000 0.8511
2 Ho 0.5000 0.5000 0.5930
3 Cu 0.0000 0.0000 0.3639
4 Y 0.5000 0.5000 0.1200

Calculated values
- ΔE to the lowest computed polymorph: 0 meV per atom
- Symmetry: P4mm (99)
- Total DFT energy (no corrections): -4.786 eV/atom